DFT (PBEsol) results for Li2MgCu2 after structural relaxation.

Lattice parameters (Å, degrees): 6.8696 6.8696 3.0969 90.00 90.00 90.00
With the nearest neighbours (Å) after each atom.
Element x y z (fractional)
Li 0.1679 0.3321 0.0000  6 Cu 2.54-2.56
Li 0.3321 0.8321 0.0000  6 Cu 2.54-2.56
Li 0.6679 0.1679 0.0000  6 Cu 2.54-2.56
Li 0.8321 0.6679 0.0000  6 Cu 2.54-2.56
Mg 0.0000 0.0000 0.5000  4 Cu 2.72, 8 Li 2.99
Mg 0.5000 0.5000 0.5000  4 Cu 2.72, 8 Li 2.99
Cu 0.1250 0.6250 0.5000  1 Cu 2.43, 6 Li 2.54-2.56, 2 Mg 2.72
Cu 0.3750 0.1250 0.5000  1 Cu 2.43, 6 Li 2.54-2.56, 2 Mg 2.72
Cu 0.6250 0.8750 0.5000  1 Cu 2.43, 6 Li 2.54-2.56, 2 Mg 2.72
Cu 0.8750 0.3750 0.5000  1 Cu 2.43, 6 Li 2.54-2.56, 2 Mg 2.72

Results
- electronic total energy (eV per cell) = -28.064
- formation energy from the elements (eV per formula unit) = 0.287
- crystal system = tetragonal



DFT (PBEsol) results for Li2MgCu after structural relaxation.

Lattice parameters (Å, degrees): 5.4027 5.4027 5.4027 147.52 130.71 60.28
With the nearest neighbours (Å) after each atom.
Element x y z (fractional)
Li 0.2227 0.2227 0.0000  2 Cu 2.57, 4 Li 2.76
Li 0.7773 0.7773 0.0000  2 Cu 2.57, 4 Li 2.76
Mg 0.5000 0.0000 0.5000  4 Cu 2.71, 4 Li 3.00, 2 Mg 3.02
Cu 0.0000 0.5000 0.5000  4 Li 2.57, 4 Mg 2.71

Results
- electronic total energy (eV per cell) = -10.031
- formation energy from the elements (eV per formula unit) = -0.046
- crystal system = orthorhombic



DFT (PBEsol) results for Li2Mg2Cu after structural relaxation.

Lattice parameters (Å, degrees): 8.1217 8.1217 8.1217 155.90 155.90 34.34
With the nearest neighbours (Å) after each atom.
Element x y z (fractional)
Li 0.2500 0.7500 0.5000  4 Li 2.40
Li 0.7500 0.2500 0.5000  4 Li 2.40
Mg 0.0928 0.0928 0.0000  4 Cu 2.80, 1 Mg 2.88, 4 Li 2.97
Mg 0.9072 0.9072 0.0000  4 Cu 2.80, 1 Mg 2.88, 4 Li 2.97
Cu 0.5000 0.5000 0.0000  8 Mg 2.80

Results
- electronic total energy (eV per cell) = -10.887
- formation energy from the elements (eV per formula unit) = 0.815
- crystal system = tetragonal



DFT (PBEsol) results for Li8Mg3Cu9Si16O48 after structural relaxation.

Lattice parameters (Å, degrees): 8.1985 8.2800 14.0499 76.34 73.90 72.93
With the nearest neighbours (Å) after each atom.
Element x y z (fractional)
Li 0.0400 0.4770 0.1077  3 O 1.94-2.16
Li 0.0448 0.9778 0.6071  2 O 1.94-2.03
Li 0.4571 0.2711 0.1437  3 O 1.93-2.15
Li 0.4590 0.7581 0.6445  3 O 1.94-2.14
Li 0.5410 0.2419 0.3555  3 O 1.94-2.14
Li 0.5429 0.7289 0.8563  3 O 1.93-2.15
Li 0.9552 0.0222 0.3929  2 O 1.94-2.03
Li 0.9600 0.5230 0.8923  3 O 1.94-2.16
Mg 0.0015 0.2473 0.7529  5 O 2.00-2.19
Mg 0.5000 0.0000 0.0000  6 O 2.01-2.21
Mg 0.9985 0.7527 0.2471  5 O 2.00-2.19
Cu 0.2428 0.9746 0.2082  4 O 1.92-1.97
Cu 0.2465 0.4685 0.7120  4 O 1.90-1.96
Cu 0.2551 0.7773 0.0409  4 O 1.92-1.97
Cu 0.2570 0.2762 0.5414  4 O 1.93-1.97
Cu 0.5000 0.5000 0.5000  4 O 1.97-1.98
Cu 0.7430 0.7238 0.4586  4 O 1.93-1.97
Cu 0.7449 0.2227 0.9591  4 O 1.92-1.97
Cu 0.7535 0.5315 0.2880  4 O 1.90-1.96
Cu 0.7572 0.0254 0.7918  4 O 1.92-1.97
Si 0.0917 0.1874 0.9978  4 O 1.61-1.67
Si 0.0930 0.6860 0.4969  4 O 1.62-1.67
Si 0.1457 0.3396 0.2884  4 O 1.61-1.67
Si 0.1492 0.8353 0.7888  4 O 1.61-1.67
Si 0.3510 0.4137 0.9640  4 O 1.61-1.67
Si 0.3522 0.9112 0.4609  4 O 1.61-1.67
Si 0.4073 0.5660 0.2459  4 O 1.60-1.68
Si 0.4102 0.0617 0.7525  4 O 1.62-1.67
Si 0.5898 0.9383 0.2475  4 O 1.62-1.67
Si 0.5927 0.4340 0.7541  4 O 1.60-1.68
Si 0.6478 0.0888 0.5391  4 O 1.61-1.67
Si 0.6490 0.5863 0.0360  4 O 1.61-1.67
Si 0.8508 0.1647 0.2112  4 O 1.61-1.67
Si 0.8543 0.6604 0.7116  4 O 1.61-1.67
Si 0.9070 0.3140 0.5031  4 O 1.62-1.67
Si 0.9083 0.8126 0.0022  4 O 1.61-1.67
O 0.0028 0.8234 0.0864  1 Si 1.61
O 0.0051 0.3226 0.5864  1 Si 1.62
O 0.0062 0.5075 0.2453  1 Si 1.63
O 0.0103 0.0039 0.7451  1 Si 1.63
O 0.0540 0.2532 0.4012  2 Si 1.65-1.67
O 0.0563 0.7482 0.9011  2 Si 1.65-1.67
O 0.1768 0.8570 0.4525  2 Si 1.67
O 0.1790 0.3567 0.9520  2 Si 1.67
O 0.2229 0.2115 0.2076  1 Si 1.61
O 0.2263 0.7074 0.7078  1 Si 1.61
O 0.2411 0.0219 0.0301  1 Si 1.62
O 0.2466 0.5206 0.5271  1 Si 1.63
O 0.2567 0.7313 0.2144  1 Si 1.62
O 0.2593 0.2257 0.7202  1 Si 1.62
O 0.2697 0.5393 0.0460  1 Si 1.61
O 0.2782 0.0375 0.5428  1 Si 1.61
O 0.3203 0.3970 0.2961  2 Si 1.67-1.68
O 0.3237 0.8917 0.7973  2 Si 1.67
O 0.4425 0.9998 0.3491  2 Si 1.64-1.67
O 0.4464 0.5051 0.8538  2 Si 1.64-1.67
O 0.4903 0.7395 0.5048  1 Si 1.65
O 0.4911 0.2448 0.0059  1 Si 1.63
O 0.4943 0.9313 0.1627  1 Si 1.62
O 0.4948 0.4163 0.6743  1 Si 1.60
O 0.5052 0.5837 0.3257  1 Si 1.60
O 0.5057 0.0687 0.8373  1 Si 1.62
O 0.5089 0.7552 0.9941  1 Si 1.63
O 0.5097 0.2605 0.4952  1 Si 1.65
O 0.5536 0.4949 0.1462  2 Si 1.64-1.67
O 0.5575 0.0002 0.6509  2 Si 1.64-1.67
O 0.6763 0.1083 0.2027  2 Si 1.67
O 0.6797 0.6030 0.7039  2 Si 1.67-1.68
O 0.7218 0.9625 0.4572  1 Si 1.61
O 0.7303 0.4607 0.9540  1 Si 1.61
O 0.7407 0.7743 0.2798  1 Si 1.62
O 0.7433 0.2687 0.7856  1 Si 1.62
O 0.7534 0.4794 0.4729  1 Si 1.63
O 0.7589 0.9781 0.9699  1 Si 1.62
O 0.7737 0.2926 0.2922  1 Si 1.61
O 0.7771 0.7885 0.7924  1 Si 1.61
O 0.8210 0.6433 0.0480  2 Si 1.67
O 0.8232 0.1430 0.5475  2 Si 1.67
O 0.9437 0.2518 0.0989  2 Si 1.65-1.67
O 0.9460 0.7468 0.5988  2 Si 1.65-1.67
O 0.9897 0.9961 0.2549  1 Si 1.63
O 0.9938 0.4925 0.7547  1 Si 1.63
O 0.9949 0.6774 0.4136  1 Si 1.62
O 0.9972 0.1766 0.9136  1 Si 1.61

Results
- electronic total energy (eV per cell) = -590.069
- crystal system = triclinic
- formation energy (no corrections) (eV per atom) = -2.22



DFT (PBEsol) results for LiMgCu2Pd after structural relaxation.

Lattice parameters (Å, degrees): 4.6646 4.6646 4.3053 90.00 90.00 90.00
With the nearest neighbours (Å) after each atom.
Element x y z (fractional)
Li 0.0000 0.0000 0.0000  2 Pd 2.15
Mg 0.5000 0.5000 0.0000  8 Cu 3.17, 4 Li 3.30
Cu 0.0000 0.5000 0.5000  2 Pd 2.33
Cu 0.5000 0.0000 0.5000  2 Pd 2.33
Pd 0.0000 0.0000 0.5000  2 Li 2.15, 4 Cu 2.33

Results
- electronic total energy (eV per cell) = -16.243
- formation energy from the elements (eV per formula unit) = 2.068
- crystal system = tetragonal



DFT (PBEsol) results for LiMnCu2 after structural relaxation.

Lattice parameters (Å, degrees): 2.3823 2.3823 7.9810 90.00 90.00 90.00
With the nearest neighbours (Å) after each atom.
Element x y z (fractional)
Li 0.0000 0.0000 0.0000  4 Li 2.38
Mn 0.0000 0.0000 0.5000  4 Mn 2.38, 8 Cu 2.55
Cu 0.5000 0.5000 0.2599  4 Cu 2.38, 4 Mn 2.55
Cu 0.5000 0.5000 0.7401  4 Cu 2.38, 4 Mn 2.55

Results
- electronic total energy (eV per cell) = -19.653
- formation energy from the elements (eV per formula unit) = 0.743
- crystal system = tetragonal
- relative energy among the computed polymorphs (meV/atom) = 8



DFT (PBEsol) results for LiMnCu2 after structural relaxation.

Lattice parameters (Å, degrees): 4.4791 4.4791 4.4791 132.32 132.32 69.73
With the nearest neighbours (Å) after each atom.
Element x y z (fractional)
Li 0.0000 0.0000 0.0000  8 Cu 2.56-2.58, 4 Mn 2.58
Mn 0.7500 0.2500 0.5000  8 Cu 2.56-2.58, 4 Li 2.58
Cu 0.2500 0.7500 0.5000  4 Mn 2.56, 4 Li 2.58, 4 Cu 2.58
Cu 0.5000 0.5000 0.0000  4 Li 2.56, 4 Mn 2.58, 4 Cu 2.58

Results
- electronic total energy (eV per cell) = -19.684
- formation energy from the elements (eV per formula unit) = 0.712
- crystal system = tetragonal
- relative energy among the computed polymorphs (meV/atom) = 0



DFT (PBEsol) results for Li2MnCu after structural relaxation.

Lattice parameters (Å, degrees): 3.5570 3.5570 4.2653 90.00 90.00 90.00
With the nearest neighbours (Å) after each atom.
Element x y z (fractional)
Li 0.0000 0.5000 0.0000  4 Li 2.52, 4 Mn 2.78, 4 Cu 2.78
Li 0.5000 0.0000 0.0000  4 Li 2.52, 4 Mn 2.78, 4 Cu 2.78
Mn 0.0000 0.0000 0.5000  4 Cu 2.52, 8 Li 2.78
Cu 0.5000 0.5000 0.5000  4 Mn 2.52, 8 Li 2.78

Results
- electronic total energy (eV per cell) = -16.816
- formation energy from the elements (eV per formula unit) = 1.213
- crystal system = tetragonal
- relative energy among the computed polymorphs (meV/atom) = 50



DFT (PBEsol) results for Li2MnCu after structural relaxation.

Lattice parameters (Å, degrees): 2.3774 2.3774 8.7248 90.00 90.00 98.77
With the nearest neighbours (Å) after each atom.
Element x y z (fractional)
Li 0.0000 0.0000 0.0000  4 Li 2.38, 2 Mn 2.61
Li 0.5000 0.5000 0.2985  4 Li 2.38, 2 Cu 2.57
Mn 0.5000 0.5000 0.7587  4 Mn 2.38, 2 Cu 2.50, 2 Li 2.61
Cu 0.0000 0.0000 0.5330  4 Cu 2.38, 2 Mn 2.50, 2 Li 2.57

Results
- electronic total energy (eV per cell) = -16.961
- formation energy from the elements (eV per formula unit) = 1.068
- crystal system = orthorhombic
- relative energy among the computed polymorphs (meV/atom) = 14



DFT (PBEsol) results for Li2MnCu after structural relaxation.

Lattice parameters (Å, degrees): 2.7208 2.7208 7.8509 90.00 90.00 90.00
With the nearest neighbours (Å) after each atom.
Element x y z (fractional)
Li 0.0000 0.0000 0.0000  4 Cu 2.60, 4 Li 2.72
Li 0.5000 0.5000 0.3064  4 Li 2.72, 4 Mn 2.84
Mn 0.0000 0.0000 0.5717  4 Cu 2.51, 4 Mn 2.72
Cu 0.5000 0.5000 0.7777  4 Mn 2.51, 4 Li 2.60, 4 Cu 2.72

Results
- electronic total energy (eV per cell) = -17.018
- formation energy from the elements (eV per formula unit) = 1.011
- crystal system = tetragonal
- relative energy among the computed polymorphs (meV/atom) = 0



DFT (PBEsol) results for LiMnCu2 after structural relaxation.

Lattice parameters (Å, degrees): 8.6660 8.6660 8.6660 16.72 16.72 16.72
With the nearest neighbours (Å) after each atom.
Element x y z (fractional)
Li 0.0000 0.0000 0.0000  6 Li 2.52, 6 Cu 2.61
Mn 0.5000 0.5000 0.5000  6 Mn 2.52, 6 Cu 2.56
Cu 0.2487 0.2487 0.2487  6 Cu 2.52, 3 Mn 2.56, 3 Li 2.61
Cu 0.7513 0.7513 0.7513  6 Cu 2.52, 3 Mn 2.56, 3 Li 2.61

Results
- electronic total energy (eV per cell) = -19.656
- formation energy from the elements (eV per formula unit) = 0.741
- crystal system = trigonal
- relative energy among the computed polymorphs (meV/atom) = 7



DFT (PBEsol) results for LiMnCu2 after structural relaxation.

Lattice parameters (Å, degrees): 4.0709 4.0709 4.0709 60.00 60.00 60.00
With the nearest neighbours (Å) after each atom.
Element x y z (fractional)
Li 0.0000 0.0000 0.0000  4 Mn 2.49, 4 Cu 2.49
Mn 0.2500 0.2500 0.2500  4 Cu 2.49, 4 Li 2.49
Cu 0.5000 0.5000 0.5000  4 Mn 2.49, 4 Cu 2.49
Cu 0.7500 0.7500 0.7500  4 Cu 2.49, 4 Li 2.49

Results
- electronic total energy (eV per cell) = -19.499
- formation energy from the elements (eV per formula unit) = 0.897
- crystal system = cubic
- relative energy among the computed polymorphs (meV/atom) = 46



DFT (PBEsol) results for LiMn3Cu after structural relaxation.

Lattice parameters (Å, degrees): 4.5745 4.5745 4.5745 90.00 90.00 90.00
With the nearest neighbours (Å) after each atom.
Element x y z (fractional)
Li 0.0000 0.0000 0.0000  12 Mn 3.23
Mn 0.0000 0.5000 0.5000  2 Cu 2.29
Mn 0.5000 0.0000 0.5000  2 Cu 2.29
Mn 0.5000 0.5000 0.0000  2 Cu 2.29
Cu 0.5000 0.5000 0.5000  6 Mn 2.29

Results
- electronic total energy (eV per cell) = -30.139
- formation energy from the elements (eV per formula unit) = 5.445
- crystal system = cubic
- relative energy among the computed polymorphs (meV/atom) = 0